[1]
## BeOsAu2 (PBE)

Data for an optimized crystal structure of BeOsAu2.

Cell lengths 5.3790, 5.3790, 5.3790 Å; angles 150.13, 130.10, 59.25 degrees
Closest atoms and distances in Å follow each position.
Fractional coordinates of all 4 atoms:
Be: 0.0000 0.0000 0.0000  4 Au 2.37
Os: 0.5000 0.5000 0.0000  4 Be 2.66, 2 Os 2.77, 4 Au 2.97
Au: 0.2050 0.7050 0.5000  2 Be 2.37
Au: 0.7950 0.2950 0.5000  2 Be 2.37

Summary:
- SG: Immm (71)
- D(E_F): 2.8 states/eV/f.u.
- E: -4.9777 eV per atom

---

[2]
## BaIrCl2 (PBE)

Data for an optimized crystal structure of BaIrCl2.

Cell lengths 8.8709, 8.8709, 8.8709 Å; angles 145.88, 145.88, 49.03 degrees
Closest atoms and distances in Å follow each position.
Fractional coordinates of all 8 atoms:
Ba: 0.0000 0.0000 0.0000  4 Cl 3.02
Ba: 0.7500 0.2500 0.5000  4 Cl 3.02
Ir: 0.2500 0.7500 0.5000  4 Cl 2.52
Ir: 0.5000 0.5000 0.0000  4 Cl 2.52
Cl: 0.2285 0.6250 0.1035  2 Ir 2.52
Cl: 0.3750 0.4785 0.6035  2 Ir 2.52
Cl: 0.5215 0.1250 0.8965  2 Ir 2.52
Cl: 0.8750 0.7715 0.3965  2 Ir 2.52

Summary:
- Energy above the lowest structure with this stoichiometry: 281 meV/atom
- SG: I-42d (122)
- D(E_F): 2.7 states/eV/f.u.
- ΔE_f (raw): -2.2 eV per formula unit

---

[3]
## VTcIr (PBE)

Data for an optimized crystal structure of VTcIr.

Cell lengths 4.7303, 4.7303, 4.6897 Å; angles 99.93, 99.93, 119.99 degrees
Closest atoms and distances in Å follow each position.
Fractional coordinates of all 6 atoms:
V: 0.1689 0.8311 0.0000  4 Ir 2.70-2.71, 5 Tc 2.71-2.74, 3 V 2.71-2.77
V: 0.8311 0.1689 0.0000  4 Ir 2.70-2.71, 5 Tc 2.71-2.74, 3 V 2.71-2.77
Tc: 0.0000 0.0000 0.5000  2 Tc 2.70, 4 V 2.72, 6 Ir 2.73-2.74
Tc: 0.5000 0.5000 0.0000  2 Tc 2.70, 4 Ir 2.71, 6 V 2.71-2.74
Ir: 0.3341 0.6659 0.5000  4 V 2.70-2.71, 5 Tc 2.71-2.74, 3 Ir 2.72-2.74
Ir: 0.6659 0.3341 0.5000  4 V 2.70-2.71, 5 Tc 2.71-2.74, 3 Ir 2.72-2.74

Summary:
- Energy above the lowest structure with this stoichiometry: 69 meV/atom
- SG: C2/m (12)
- D(E_F): 3.7 states/eV/f.u.

---

[4]
## AlAs2Rh (PBE)

Data for an optimized crystal structure of AlAs2Rh.

Cell lengths 4.4285, 4.4285, 4.4285 Å; angles 111.91, 111.91, 104.69 degrees
Closest atoms and distances in Å follow each position.
Fractional coordinates of all 4 atoms:
Al: 0.0000 0.0000 0.0000  2 Rh 2.71, 8 As 2.82
As: 0.2500 0.7500 0.5000  2 As 2.71, 4 Rh 2.82, 4 Al 2.82
As: 0.7500 0.2500 0.5000  2 As 2.71, 4 Rh 2.82, 4 Al 2.82
Rh: 0.5000 0.5000 0.0000  2 Al 2.71, 8 As 2.82

Summary:
- SG: I4/mmm (139)
- D(E_F): 1.9 states/eV/f.u.
- E: -5.1756 eV per atom

---

[5]
## LaMgCo2 (PBE)

Data for an optimized crystal structure of LaMgCo2.

Cell lengths 5.7624, 5.7624, 5.7624 Å; angles 105.75, 105.75, 117.21 degrees
Closest atoms and distances in Å follow each position.
Fractional coordinates of all 8 atoms:
La: 0.0000 0.0000 0.0000  4 Co 2.56
La: 0.7500 0.2500 0.5000  4 Co 2.56
Mg: 0.2500 0.7500 0.5000  4 Co 2.58
Mg: 0.5000 0.5000 0.0000  4 Co 2.58
Co: 0.1228 0.6250 0.9978  2 La 2.56, 2 Mg 2.58
Co: 0.3750 0.3728 0.4978  2 La 2.56, 2 Mg 2.58
Co: 0.6272 0.1250 0.0022  2 La 2.56, 2 Mg 2.58
Co: 0.8750 0.8772 0.5022  2 La 2.56, 2 Mg 2.58

Summary:
- SG: I-42d (122)
- D(E_F): 2.5 states/eV/f.u.
- E: -4.7290 eV per atom

---

[6]
## Li2MgTa (PBE)

Data for an optimized crystal structure of Li2MgTa.

Cell lengths 4.6598, 4.6598, 4.6598 Å; angles 60.00, 60.00, 60.00 degrees
Closest atoms and distances in Å follow each position.
Fractional coordinates of all 4 atoms:
Li: 0.0000 0.0000 0.0000  4 Ta 2.85, 4 Li 2.85
Li: 0.2500 0.2500 0.2500  4 Mg 2.85, 4 Li 2.85
Mg: 0.5000 0.5000 0.5000  4 Ta 2.85, 4 Li 2.85
Ta: 0.7500 0.7500 0.7500  4 Li 2.85, 4 Mg 2.85

Summary:
- SG: F-43m (216)
- D(E_F): 2.7 states/eV/f.u.
- E: -3.6186 eV per atom

---

[7]
## LaV2Mo2 (PBE)

Data for an optimized crystal structure of LaV2Mo2.

Cell lengths 6.0784, 6.0784, 6.0784 Å; angles 138.25, 138.25, 60.51 degrees
Closest atoms and distances in Å follow each position.
Fractional coordinates of all 5 atoms:
La: 0.0000 0.0000 0.0000  8 V 3.34, 8 Mo 3.40
V: 0.3724 0.3724 0.0000  4 Mo 2.52, 1 V 2.68
V: 0.6276 0.6276 0.0000  4 Mo 2.52, 1 V 2.68
Mo: 0.2500 0.7500 0.5000  4 V 2.52
Mo: 0.7500 0.2500 0.5000  4 V 2.52

Summary:
- SG: I4/mmm (139)
- D(E_F): 6.6 states/eV/f.u.
- E: -8.5426 eV per atom

---

[8]
## NaSnI3 (PBE)

Data for an optimized crystal structure of NaSnI3.

Cell lengths 11.8662, 11.8662, 8.0264 Å; angles 90.00, 90.00, 157.72 degrees
Closest atoms and distances in Å follow each position.
Fractional coordinates of all 10 atoms:
Na: 0.1599 0.8401 0.5000  6 I 3.16-3.40
Na: 0.8401 0.1599 0.0000  6 I 3.16-3.40
Sn: 0.3430 0.6570 0.5132  3 I 2.97-3.12
Sn: 0.6570 0.3430 0.0132  3 I 2.97-3.12
I: 0.0866 0.9134 0.8451  2 Sn 3.12, 1 Na 3.25
I: 0.2494 0.7506 0.1688  3 Na 3.38-3.40, 3 Sn 3.38-3.52
I: 0.4115 0.5885 0.8256  1 Sn 2.97, 2 Na 3.16
I: 0.5885 0.4115 0.3256  1 Sn 2.97, 2 Na 3.16
I: 0.7506 0.2494 0.6688  3 Na 3.38-3.40, 3 Sn 3.38-3.52
I: 0.9134 0.0866 0.3451  2 Sn 3.12, 1 Na 3.25

Summary:
- SG: Cmc2_1 (36)
- D(E_F): 0.0 states/eV/f.u.
- ΔE_f (raw): -4.0 eV per formula unit

---

[9]
## Fe2ReTe (PBE)

Data for an optimized crystal structure of Fe2ReTe.

Cell lengths 4.5938, 4.5938, 4.5938 Å; angles 130.02, 130.02, 73.37 degrees
Closest atoms and distances in Å follow each position.
Fractional coordinates of all 4 atoms:
Fe: 0.2500 0.7500 0.5000  4 Re 2.68, 4 Te 2.68, 4 Fe 2.74
Fe: 0.7500 0.2500 0.5000  4 Re 2.68, 4 Te 2.68, 4 Fe 2.74
Re: 0.0000 0.0000 0.0000  8 Fe 2.68, 4 Te 2.74
Te: 0.5000 0.5000 0.0000  8 Fe 2.68, 4 Re 2.74

Summary:
- SG: I4/mmm (139)
- D(E_F): 4.6 states/eV/f.u.
- ΔE_f (raw): 2.4 eV per formula unit

---

[10]
## PrNdNiRh (PBE)

Data for an optimized crystal structure of PrNdNiRh.

Cell lengths 4.1984, 5.8375, 5.8375 Å; angles 39.87, 90.00, 90.00 degrees
Closest atoms and distances in Å follow each position.
Fractional coordinates of all 4 atoms:
Pr: 0.0000 0.0000 0.0000  4 Ni 2.98, 3 Rh 3.09-3.12
Nd: 0.5000 0.7213 0.7213  4 Rh 2.97, 3 Ni 3.09-3.13
Ni: 0.5000 0.4364 0.4364  2 Rh 2.70, 4 Pr 2.98
Rh: 0.0000 0.2812 0.2812  2 Ni 2.70, 4 Nd 2.97

Summary:
- Energy above the lowest structure with this stoichiometry: 0 meV/atom
- SG: Amm2 (38)
- D(E_F): 2.7 states/eV/f.u.

---

[11]
## Th2PPt3 (PBE)

Data for an optimized crystal structure of Th2PPt3.

Cell lengths 8.7447, 8.3792, 5.8922 Å; angles 73.25, 66.57, 40.18 degrees
Closest atoms and distances in Å follow each position.
Fractional coordinates of all 12 atoms:
Th: 0.2421 0.7579 0.7579  10 Pt 3.10-3.35, 2 P 3.20
Th: 0.2500 0.2500 0.2500  8 Pt 3.04-3.19, 4 P 3.18
Th: 0.7500 0.7500 0.7500  8 Pt 3.04-3.19, 4 P 3.18
Th: 0.7579 0.2421 0.2421  10 Pt 3.10-3.35, 2 P 3.20
P: 0.3300 0.3300 0.6700  3 Pt 2.39-2.43
P: 0.6700 0.6700 0.3300  3 Pt 2.39-2.43
Pt: 0.1678 0.1678 0.8322  1 P 2.43, 2 Pt 2.71
Pt: 0.1799 0.6378 0.3622  1 P 2.39
Pt: 0.3622 0.8201 0.1799  1 P 2.39
Pt: 0.6378 0.1799 0.8201  1 P 2.39
Pt: 0.8201 0.3622 0.6378  1 P 2.39
Pt: 0.8322 0.8322 0.1678  1 P 2.43, 2 Pt 2.71

Summary:
- SG: Fmmm (69)
- D(E_F): 4.3 states/eV/f.u.
- E: -7.6385 eV per atom

---

[12]
## Na2NpNiP2 (PBE)

Data for an optimized crystal structure of Na2NpNiP2.

Cell lengths 4.1463, 8.0286, 6.7949 Å; angles 90.00, 90.00, 90.00 degrees
Closest atoms and distances in Å follow each position.
Fractional coordinates of all 12 atoms:
Na: 0.0000 0.0943 0.0000  3 P 2.90-3.03, 4 Na 3.01-3.12, 1 Ni 3.08
Na: 0.0000 0.9057 0.5000  3 P 2.90-3.03, 4 Na 3.01-3.12, 1 Ni 3.08
Na: 0.5000 0.1405 0.3382  4 P 2.75-2.91, 2 Na 3.01
Na: 0.5000 0.8595 0.8382  4 P 2.75-2.91, 2 Na 3.01
Np: 0.5000 0.4649 0.0012  6 P 2.74-3.06, 2 Ni 2.81
Np: 0.5000 0.5351 0.5012  6 P 2.74-3.06, 2 Ni 2.81
Ni: 0.0000 0.3314 0.6444  4 P 2.37-2.53
Ni: 0.0000 0.6686 0.1444  4 P 2.37-2.53
P: 0.0000 0.3898 0.2783  2 Ni 2.42-2.53
P: 0.0000 0.6102 0.7783  2 Ni 2.42-2.53
P: 0.5000 0.2089 0.7342  2 Ni 2.37
P: 0.5000 0.7911 0.2342  2 Ni 2.37

Summary:
- SG: Pmc2_1 (26)
- D(E_F): 7.5 states/eV/f.u.
- E: -5.8310 eV per atom